# HoHfInTc, relaxed, DFT PBE
# DOS(E_F)	9.51	states/eV per cell
# V	20.95	Å³ per atom
# energy relative to the elements	-0.1560	eV/atom
# density	11.0	Mg/m³
data_HoHfInTc
_space_group_name_H-M_alt 'F -4 3 m'
_space_group_IT_number 216
_space_group_name_Hall 'F -4 2 3'
_cell_length_a 6.946
_cell_length_b 6.946
_cell_length_c 6.946
_cell_angle_alpha 90.00
_cell_angle_beta 90.00
_cell_angle_gamma 90.00
loop_
_atom_site_label
_atom_site_type_symbol
_atom_site_fract_x
_atom_site_fract_y
_atom_site_fract_z
Ho1 Ho 0.000 0.000 0.000
Hf1 Hf 0.000 0.000 0.500
In1 In 0.250 0.250 0.750
Tc1 Tc 0.250 0.250 0.250


# HoHfTlIn, relaxed, DFT PBE
# DOS(E_F)	13.17	states/eV per cell
# V	24.34	Å³ per atom
# energy relative to the elements	-0.0770	eV/atom
# density	11.3	Mg/m³
data_HoHfTlIn
_space_group_name_H-M_alt 'F -4 3 m'
_space_group_IT_number 216
_space_group_name_Hall 'F -4 2 3'
_cell_length_a 7.302
_cell_length_b 7.302
_cell_length_c 7.302
_cell_angle_alpha 90.00
_cell_angle_beta 90.00
_cell_angle_gamma 90.00
loop_
_atom_site_label
_atom_site_type_symbol
_atom_site_fract_x
_atom_site_fract_y
_atom_site_fract_z
Ho1 Ho 0.000 0.000 0.000
Hf1 Hf 0.000 0.000 0.500
Tl1 Tl 0.250 0.250 0.250
In1 In 0.250 0.250 0.750


# HoHf3Ir2, relaxed, DFT PBE
# DOS(E_F)	10.12	states/eV per cell
# V	20.93	Å³ per atom
# energy relative to the elements	-0.7621	eV/atom
# density	14.3	Mg/m³
data_HoHf3Ir2
_space_group_name_H-M_alt 'P m c 21'
_space_group_IT_number 26
_cell_length_a 4.503
_cell_length_b 8.239
_cell_length_c 6.771
_cell_angle_alpha 90.00
_cell_angle_beta 90.00
_cell_angle_gamma 90.00
loop_
_space_group_symop_operation_xyz
'x,y,z'
'-x,-y,z+1/2'
'-x,y,z'
'x,-y,z+1/2'
loop_
_atom_site_label
_atom_site_type_symbol
_atom_site_fract_x
_atom_site_fract_y
_atom_site_fract_z
Ho1 Ho 0.000 0.072 0.000
Hf1 Hf 0.000 0.334 0.636
Hf2 Hf 0.500 0.179 0.343
Hf3 Hf 0.500 0.424 0.980
Ir1 Ir 0.000 0.347 0.242
Ir2 Ir 0.500 0.167 0.735


# HoHfIr4, relaxed, DFT PBE
# DOS(E_F)	13.37	states/eV per cell
# V	17.42	Å³ per atom
# energy relative to the elements	-0.7172	eV/atom
# density	17.7	Mg/m³
data_HoHfIr4
_space_group_name_H-M_alt 'F -4 3 m'
_space_group_IT_number 216
_space_group_name_Hall 'F -4 2 3'
_cell_length_a 7.478
_cell_length_b 7.478
_cell_length_c 7.478
_cell_angle_alpha 90.00
_cell_angle_beta 90.00
_cell_angle_gamma 90.00
loop_
_atom_site_label
_atom_site_type_symbol
_atom_site_fract_x
_atom_site_fract_y
_atom_site_fract_z
Ho1 Ho 0.000 0.000 0.000
Hf1 Hf 0.250 0.250 0.750
Ir1 Ir 0.125 0.125 0.375


# HoHf2Ir3, relaxed, DFT PBE
# DOS(E_F)	5.64	states/eV per cell
# V	18.53	Å³ per atom
# energy relative to the elements	-0.9133	eV/atom
# density	16.4	Mg/m³
data_HoHf2Ir3
_space_group_name_H-M_alt 'P 4/m m m'
_space_group_IT_number 123
_space_group_name_Hall '-P 4 2'
_cell_length_a 3.267
_cell_length_b 3.267
_cell_length_c 10.419
_cell_angle_alpha 90.00
_cell_angle_beta 90.00
_cell_angle_gamma 90.00
loop_
_atom_site_label
_atom_site_type_symbol
_atom_site_fract_x
_atom_site_fract_y
_atom_site_fract_z
Ho1 Ho 0.000 0.000 0.000
Hf1 Hf 0.000 0.000 0.339
Ir1 Ir 0.500 0.500 0.193
Ir2 Ir 0.500 0.500 0.500


# Ho4HfIr5, relaxed, DFT PBE
# DOS(E_F)	4.87	states/eV per cell
# V	19.42	Å³ per atom
# energy relative to the elements	-0.8711	eV/atom
# density	15.4	Mg/m³
data_Ho4HfIr5
_space_group_name_H-M_alt 'P 4/m m m'
_space_group_IT_number 123
_space_group_name_Hall '-P 4 2'
_cell_length_a 3.326
_cell_length_b 3.326
_cell_length_c 17.553
_cell_angle_alpha 90.00
_cell_angle_beta 90.00
_cell_angle_gamma 90.00
loop_
_atom_site_label
_atom_site_type_symbol
_atom_site_fract_x
_atom_site_fract_y
_atom_site_fract_z
Ho1 Ho 0.000 0.000 0.102
Ho2 Ho 0.000 0.000 0.305
Hf1 Hf 0.000 0.000 0.500
Ir1 Ir 0.500 0.500 0.000
Ir2 Ir 0.500 0.500 0.205
Ir3 Ir 0.500 0.500 0.413


# HoHfIr2, relaxed, DFT PBE
# DOS(E_F)	3.23	states/eV per cell
# V	18.84	Å³ per atom
# energy relative to the elements	-0.9066	eV/atom
# density	16.0	Mg/m³
data_HoHfIr2
_space_group_name_H-M_alt 'P 4/m m m'
_space_group_IT_number 123
_space_group_name_Hall '-P 4 2'
_cell_length_a 3.314
_cell_length_b 3.314
_cell_length_c 6.862
_cell_angle_alpha 90.00
_cell_angle_beta 90.00
_cell_angle_gamma 90.00
loop_
_atom_site_label
_atom_site_type_symbol
_atom_site_fract_x
_atom_site_fract_y
_atom_site_fract_z
Ho1 Ho 0.000 0.000 0.000
Hf1 Hf 0.000 0.000 0.500
Ir1 Ir 0.500 0.500 0.274


# HoHf2Ir, relaxed, DFT PBE
# DOS(E_F)	18.28	states/eV per cell
# V	19.89	Å³ per atom
# energy relative to the elements	-0.1932	eV/atom
# density	14.9	Mg/m³
data_HoHf2Ir
_space_group_name_H-M_alt 'F m -3 m'
_space_group_IT_number 225
_space_group_name_Hall '-F 4 2 3'
_cell_length_a 6.828
_cell_length_b 6.828
_cell_length_c 6.828
_cell_angle_alpha 90.00
_cell_angle_beta 90.00
_cell_angle_gamma 90.00
loop_
_atom_site_label
_atom_site_type_symbol
_atom_site_fract_x
_atom_site_fract_y
_atom_site_fract_z
Ho1 Ho 0.000 0.000 0.000
Hf1 Hf 0.250 0.250 0.250
Ir1 Ir 0.000 0.000 0.500


# LiHoHfIr, relaxed, DFT PBE
# DOS(E_F)	11.86	states/eV per cell
# V	19.03	Å³ per atom
# energy relative to the elements	-0.5079	eV/atom
# density	11.8	Mg/m³
data_LiHoHfIr
_space_group_name_H-M_alt 'F -4 3 m'
_space_group_IT_number 216
_space_group_name_Hall 'F -4 2 3'
_cell_length_a 6.727
_cell_length_b 6.727
_cell_length_c 6.727
_cell_angle_alpha 90.00
_cell_angle_beta 90.00
_cell_angle_gamma 90.00
loop_
_atom_site_label
_atom_site_type_symbol
_atom_site_fract_x
_atom_site_fract_y
_atom_site_fract_z
Li1 Li 0.000 0.000 0.000
Ho1 Ho 0.250 0.250 0.750
Hf1 Hf 0.250 0.250 0.250
Ir1 Ir 0.000 0.000 0.500


# HoHf2MgIr4, relaxed, DFT PBE
# DOS(E_F)	16.26	states/eV per cell
# V	17.60	Å³ per atom
# energy relative to the elements	-0.8177	eV/atom
# density	15.5	Mg/m³
data_HoHf2MgIr4
_space_group_name_H-M_alt 'R -3 m'
_space_group_IT_number 166
_space_group_name_Hall '-R 3 2"'
_cell_length_a 4.6216
_cell_length_b 4.6216
_cell_length_c 22.8292
_cell_angle_alpha 90.00
_cell_angle_beta 90.00
_cell_angle_gamma 120.00
loop_
_atom_site_label
_atom_site_type_symbol
_atom_site_fract_x
_atom_site_fract_y
_atom_site_fract_z
Ho1 Ho 0.0000 0.0000 0.0000
Hf1 Hf 0.0000 0.0000 0.2451
Mg1 Mg 0.0000 0.0000 0.5000
Ir1 Ir 0.0000 0.0000 0.1256
Ir2 Ir 0.0000 0.0000 0.3774


# HoHfIrPt, relaxed, DFT PBE
# DOS(E_F)	16.61	states/eV per cell
# V	19.21	Å³ per atom
# energy relative to the elements	-0.9356	eV/atom
# density	15.8	Mg/m³
data_HoHfIrPt
_space_group_name_H-M_alt 'F -4 3 m'
_space_group_IT_number 216
_space_group_name_Hall 'F -4 2 3'
_cell_length_a 6.749
_cell_length_b 6.749
_cell_length_c 6.749
_cell_angle_alpha 90.00
_cell_angle_beta 90.00
_cell_angle_gamma 90.00
loop_
_atom_site_label
_atom_site_type_symbol
_atom_site_fract_x
_atom_site_fract_y
_atom_site_fract_z
Ho1 Ho 0.000 0.000 0.000
Hf1 Hf 0.000 0.000 0.500
Ir1 Ir 0.250 0.250 0.250
Pt1 Pt 0.250 0.250 0.750


# HoHfIrRu, relaxed, DFT PBE
# DOS(E_F)	1.68	states/eV per cell
# V	18.46	Å³ per atom
# energy relative to the elements	-0.7870	eV/atom
# density	14.3	Mg/m³
data_HoHfIrRu
_space_group_name_H-M_alt 'P 4 m m'
_space_group_IT_number 99
_cell_length_a 3.339
_cell_length_b 3.339
_cell_length_c 6.623
_cell_angle_alpha 90.00
_cell_angle_beta 90.00
_cell_angle_gamma 90.00
loop_
_space_group_symop_operation_xyz
'x,y,z'
'-y,x,z'
'-x,-y,z'
'y,-x,z'
'-x,y,z'
'y,x,z'
'x,-y,z'
'-y,-x,z'
loop_
_atom_site_label
_atom_site_type_symbol
_atom_site_fract_x
_atom_site_fract_y
_atom_site_fract_z
Ho1 Ho 0.000 0.000 0.000
Hf1 Hf 0.000 0.000 0.498
Ir1 Ir 0.500 0.500 0.730
Ru1 Ru 0.500 0.500 0.268